1.
VASP calculation (PBE) on LaTa after structural relaxation.

Offset from the most stable computed form: 194.8 meV/atom
Energy of formation from the pure elements: 0.4741 eV per atom

a = 9.2260 Å, b = 9.2260 Å, c = 9.2260 Å
α = 159.29°, β = 144.77°, γ = 41.22°
Atoms (fractional coordinates):
1 La 0.0000 0.0000 0.0000
2 La 0.1955 0.6955 0.5000
3 La 0.8045 0.3045 0.5000
4 Ta 0.3738 0.8738 0.5000
5 Ta 0.5000 0.5000 0.0000
6 Ta 0.6262 0.1262 0.5000

2.
VASP calculation (PBE) on SmHo2ErTm2 after structural relaxation.

Energy of formation from the pure elements: 0.1109 eV per atom

a = 6.0250 Å, b = 18.0011 Å, c = 3.4895 Å
α = 90.00°, β = 90.00°, γ = 90.00°
Atoms (fractional coordinates):
1 Sm 0.0000 0.0000 0.0000
2 Sm 0.5000 0.5000 0.5000
3 Ho 0.1677 0.1574 0.5000
4 Ho 0.3323 0.6574 0.0000
5 Ho 0.6677 0.3426 0.0000
6 Ho 0.8323 0.8426 0.5000
7 Er 0.0000 0.5000 0.0000
8 Er 0.5000 0.0000 0.5000
9 Tm 0.1669 0.3425 0.5000
10 Tm 0.3331 0.8425 0.0000
11 Tm 0.6669 0.1575 0.0000
12 Tm 0.8331 0.6575 0.5000

3.
VASP calculation (PBE) on AuC2 after structural relaxation.

Offset from the most stable computed form: 1228.0 meV/atom
Energy of formation from the pure elements: 1.4941 eV per atom

a = 3.6931 Å, b = 4.1450 Å, c = 4.8559 Å
α = 110.44°, β = 101.63°, γ = 105.90°
Atoms (fractional coordinates):
1 Au 0.0000 0.0000 0.0000
2 C 0.5576 0.2309 0.0002
3 C 0.8426 0.4909 0.0003

4.
VASP calculation (PBE) on GeHAu3 after structural relaxation.

Offset from the most stable computed form: 486.9 meV/atom

a = 4.9349 Å, b = 4.9349 Å, c = 4.9349 Å
α = 90.00°, β = 90.00°, γ = 90.00°
Atoms (fractional coordinates):
1 Ge 0.0000 0.0000 0.0000
2 H 0.5000 0.5000 0.5000
3 Au 0.0000 0.0000 0.5000
4 Au 0.0000 0.5000 0.0000
5 Au 0.5000 0.0000 0.0000